Density functional theory data (PBE-GGA) for an optimized crystal structure of Y2ErIn2.

```
Y2ErIn2
1.0
-3.2114 1.5996 -1.1034
0.1583 -2.8048 -4.5264
-5.5318 -10.9648 6.6009
In Y Er
4 4 2
Direct
0.3569 0.2500 0.7126 In
0.6431 0.7500 0.2874 In
0.5509 0.2500 0.1015 In
0.4491 0.7500 0.8985 In
0.2370 0.7500 0.4740 Y
0.0477 0.7500 0.0956 Y
0.9523 0.2500 0.9044 Y
0.7630 0.2500 0.5260 Y
0.8512 0.7500 0.7012 Er
0.1488 0.2500 0.2988 Er
```

## Properties
As for the density of states at the Fermi level: 0.787 states/eV per atom. As for the formation energy: -392.9 meV per atom. As for the space group: No. 11. The energy is -24.93 eV/f.u.

---

Density functional theory data (PBE-GGA) for an optimized crystal structure of Y2Er2In3.

```
Y2Er2In3
1.0
-1.5076 3.1176 -0.2157
-3.1398 -1.5354 -0.2473
-2.2009 1.9589 15.7880
In Er Y
3 2 2
Direct
0.8636 0.0000 0.2727 In
0.0000 0.0000 0.0000 In
0.1364 0.0000 0.7273 In
0.2983 0.5000 0.4034 Er
0.7017 0.5000 0.5966 Er
0.5680 0.5000 0.8640 Y
0.4320 0.5000 0.1360 Y
```

## Properties
As for the density of states at the Fermi level: 0.976 states/eV per atom. As for the formation energy: -341.4 meV per atom. As for the space group: No. 65. The energy is -32.66 eV/f.u.